A plane-wave DFT calculation with GGA-PBE was carried out for a geometry-optimized LaHo5Tm2 structure.

Lattice parameters (Å, degrees): 7.0939 7.0951 20.0045 90.00 90.00 90.00
Last column: nearest neighbours and their distance in Å.
Atoms (fractional coordinates):
Ho 0.0000 0.2502 0.6248  2 La 3.55, 8 Ho 3.55-3.56, 2 Tm 3.55
Tm 0.2537 0.0000 0.5000  4 Tm 3.49-3.60, 6 Ho 3.53-3.55, 2 La 3.55
Ho 0.2534 0.5000 0.5000  6 Ho 3.50-3.60, 4 Tm 3.53-3.55, 2 La 3.55
Ho 0.5000 0.7496 0.3752  8 Ho 3.52-3.55, 4 Tm 3.53-3.55
Ho 0.7466 0.0000 0.0000  6 Ho 3.50-3.60, 4 Tm 3.53-3.55, 2 La 3.55
Ho 0.5000 0.7504 0.8752  8 Ho 3.52-3.55, 4 Tm 3.53-3.55
Ho 0.7466 0.5000 0.5000  6 Ho 3.50-3.60, 4 Tm 3.53-3.55, 2 La 3.55
Tm 0.5000 0.2492 0.3753  2 Tm 3.52, 8 Ho 3.53-3.55, 2 La 3.55
Ho 0.7466 0.4995 0.2500  8 Ho 3.50-3.59, 2 Tm 3.53-3.54, 2 La 3.56
Tm 0.5000 0.7508 0.6247  2 Tm 3.52, 8 Ho 3.53-3.55, 2 La 3.55
La 0.0000 0.2500 0.8753  8 Ho 3.55-3.56, 4 Tm 3.55
Ho 0.7466 0.9995 0.2500  8 Ho 3.50-3.59, 2 Tm 3.53-3.54, 2 La 3.56
La 0.0000 0.2500 0.3753  8 Ho 3.55-3.56, 4 Tm 3.55
Ho 0.5000 0.2504 0.6248  8 Ho 3.52-3.55, 4 Tm 3.53-3.55
La 0.0000 0.7500 0.1247  8 Ho 3.55-3.56, 4 Tm 3.55
Ho 0.2534 0.5005 0.7500  8 Ho 3.50-3.59, 2 Tm 3.53-3.54, 2 La 3.56
La 0.0000 0.7500 0.6247  8 Ho 3.55-3.56, 4 Tm 3.55
Ho 0.0000 0.7498 0.3752  2 La 3.55, 8 Ho 3.55-3.56, 2 Tm 3.55
Ho 0.7466 0.0005 0.7500  8 Ho 3.50-3.59, 2 Tm 3.53-3.54, 2 La 3.56
Tm 0.5000 0.2508 0.8753  2 Tm 3.52, 8 Ho 3.53-3.55, 2 La 3.55
Tm 0.5000 0.7492 0.1247  2 Tm 3.52, 8 Ho 3.53-3.55, 2 La 3.55
Tm 0.7463 0.0000 0.5000  4 Tm 3.49-3.60, 6 Ho 3.53-3.55, 2 La 3.55
Tm 0.7463 0.5000 0.0000  4 Tm 3.49-3.60, 6 Ho 3.53-3.55, 2 La 3.55
Ho 0.2534 0.0000 0.0000  6 Ho 3.50-3.60, 4 Tm 3.53-3.55, 2 La 3.55
Ho 0.0000 0.7502 0.8752  2 La 3.55, 8 Ho 3.55-3.56, 2 Tm 3.55
Ho 0.2534 0.0005 0.7500  8 Ho 3.50-3.59, 2 Tm 3.53-3.54, 2 La 3.56
Ho 0.7466 0.5005 0.7500  8 Ho 3.50-3.59, 2 Tm 3.53-3.54, 2 La 3.56
Ho 0.5000 0.2496 0.1248  8 Ho 3.52-3.55, 4 Tm 3.53-3.55
Ho 0.0000 0.2498 0.1248  2 La 3.55, 8 Ho 3.55-3.56, 2 Tm 3.55
Ho 0.2534 0.9995 0.2500  8 Ho 3.50-3.59, 2 Tm 3.53-3.54, 2 La 3.56
Tm 0.2537 0.5000 0.0000  4 Tm 3.49-3.60, 6 Ho 3.53-3.55, 2 La 3.55
Ho 0.2534 0.4995 0.2500  8 Ho 3.50-3.59, 2 Tm 3.53-3.54, 2 La 3.56

The uncorrected energy is -146.19 eV for the cell shown. Its symmetry is Pbam, No. 55. Its formation energy is 26 meV/atom. The calculation puts the theoretical density at 8.59 g/cm3.